Here is NaEr2Tm3Te6 after structural relaxation from the Alexandria database. Energies are from PBE.

Output
Its magnetic moment is 0.000 μB/atom. The calculated volume is 28.86 Å³/atom. Its uncorrected formation energy is -1.2293 eV per atom. Its total DFT energy (no corrections) is -57.5 eV for the cell shown.

Geometry as extended XYZ:
```
12
Lattice="-3.5090 0.8964 -2.3386 -2.1515 -8.4547 -0.0124 -2.5355 2.9442 8.9066" Properties=species:S:1:pos:R:3 pbc="T T T"
Na -1.7545 0.4482 -1.1693
Er -5.9937 -2.8583 3.9240
Er -2.2023 -1.7558 2.6315
Tm -2.8303 -3.7791 -1.1755
Tm -5.0153 1.2498 4.0306
Tm -3.1807 -5.8639 2.5249
Te -4.8056 -5.5053 5.1004
Te -4.4257 -3.3814 1.3708
Te -3.3904 0.8912 1.4551
Te -0.5678 -2.1353 0.0335
Te -7.6282 -2.4788 6.5220
Te -3.7703 -1.2327 5.1847
```

---

Here is Mo3Pd after structural relaxation from the Alexandria database. Energies are from PBE.

Output
The value obtained for the energy of formation from the pure elements is 107 meV/atom. Its magnetic moment is 0.000 μB/atom. The calculated volume is 15.58 Å³/atom. Its total DFT energy (no corrections) is -37.3 eV for the cell shown.

Geometry as extended XYZ:
```
4
Lattice="3.9645 0.0000 0.0000 0.0000 3.9645 0.0000 0.0000 0.0000 3.9645" Properties=species:S:1:pos:R:3 pbc="T T T"
Mo 0.0000 1.9823 1.9823
Mo 1.9823 1.9823 0.0000
Mo 1.9823 0.0000 1.9823
Pd 0.0000 0.0000 0.0000
```

---

Here is BeOsAu2 after structural relaxation from the Alexandria database. Energies are from PBE.

Output
The value obtained for the energy of formation from the pure elements is 336 meV/atom. Its magnetic moment is 0.001 μB/atom. The calculated volume is 14.76 Å³/atom. Its total DFT energy (no corrections) is -20.2 eV for the cell shown.

Geometry as extended XYZ:
```
4
Lattice="8.8026 0.0060 0.0035 8.3533 2.7765 0.0035 8.3533 1.3548 2.4235" Properties=species:S:1:pos:R:3 pbc="T T T"
Os 19.1318 3.1030 1.8229
Au 25.2401 4.0937 2.4049
Au 13.0236 2.1123 1.2409
Be 6.3773 1.0343 0.6076
```

---

Here is CePu2Ir after structural relaxation from the Alexandria database. Energies are from PBE.

Output
For the energy relative to the lowest polymorph listed for this composition, the calculation gives 0.96 kcal/mol of atoms. The value obtained for the energy of formation from the pure elements is -212 meV/atom. Its magnetic moment is 2.591 μB/atom. The calculated volume is 22.50 Å³/atom. Its total DFT energy (no corrections) is -44.3 eV for the cell shown.

Geometry as extended XYZ:
```
4
Lattice="-2.8897 -1.7546 1.0499 1.4434 -0.4631 3.1989 -2.9380 6.1660 2.2184" Properties=species:S:1:pos:R:3 pbc="T T T"
Ir -0.7231 -1.1089 2.1244
Ce -2.1921 1.9741 3.2336
Pu -2.3073 4.8425 1.7422
Pu -0.6306 1.3236 0.4762
```

---

Here is Ba2InSnPt6 after structural relaxation from the Alexandria database. Energies are from PBE.

Output
The value obtained for the energy of formation from the pure elements is -77 meV/atom. Its magnetic moment is 0.000 μB/atom. The calculated volume is 26.52 Å³/atom. Its total DFT energy (no corrections) is -47.6 eV for the cell shown.

Geometry as extended XYZ:
```
10
Lattice="-6.5836 -0.7849 -2.8356 -2.7295 -0.9652 6.6044 -5.4333 4.1475 2.2974" Properties=species:S:1:pos:R:3 pbc="T T T"
Ba -6.4097 1.1537 5.3931
Ba -8.3367 1.2438 0.6731
In 0.0000 0.0000 0.0000
Sn -4.6566 -0.8751 1.8844
Pt -3.6980 -0.9199 4.2322
Pt -12.4060 2.8373 5.1191
Pt -5.0429 1.6232 2.0898
Pt -5.6151 -0.8302 -0.4633
Pt -2.3404 -0.4398 0.9471
Pt -9.7035 0.7743 3.9764
```

---

Here is Ca3Pa3GeN8 after structural relaxation from the Alexandria database. Energies are from PBE.

Output
Its magnetic moment is 0.000 μB/atom. The calculated volume is 15.83 Å³/atom. Its uncorrected formation energy is -1.0860 eV per atom. Its total DFT energy (no corrections) is -122.0 eV for the cell shown.

Geometry as extended XYZ:
```
15
Lattice="-4.3833 4.0650 3.5671 -2.3748 -5.6961 -3.2198 4.0186 -0.6028 5.6244" Properties=species:S:1:pos:R:3 pbc="T T T"
Ca 0.0000 0.0000 0.0000
Ca -1.1874 -2.8481 -1.6099
Ca -3.3791 -0.8156 0.1737
Pa -0.1824 1.7311 4.5958
Pa -1.3698 -1.1170 2.9859
Pa 0.8219 -3.1495 1.2023
Ge 2.0093 -0.3014 2.8122
N -1.2563 -2.0522 0.7942
N -1.4833 -0.1817 5.1777
N -3.4243 -0.1154 2.7157
N 0.6848 -2.1185 3.2561
N -2.2325 2.7416 4.3302
N -0.5071 -4.9756 1.6417
N -0.0345 0.7035 2.5414
N -2.7050 -2.9374 3.4304
```

---

Here is Hg4SbPt after structural relaxation from the Alexandria database. Energies are from PBE.

Output
Its magnetic moment is 0.000 μB/atom. The calculated volume is 23.10 Å³/atom. Its uncorrected formation energy is 0.4639 eV per atom. Its total DFT energy (no corrections) is -8.6 eV for the cell shown.

Geometry as extended XYZ:
```
6
Lattice="-2.9250 -4.7345 1.6649 -5.0839 -1.2990 -2.4919 -0.4038 -4.5680 -3.5657" Properties=species:S:1:pos:R:3 pbc="T T T"
Hg -4.6159 -6.3393 -0.8194
Hg -3.3595 -6.2563 -3.4259
Hg -5.6917 -4.6273 -2.8909
Hg -3.1583 -3.9800 -1.6491
Sb 0.0000 0.0000 0.0000
Pt -6.3095 -7.9511 -3.2945
```

---

Here is U2Sn2BRu4 after structural relaxation from the Alexandria database. Energies are from PBE.

Output
The value obtained for the energy of formation from the pure elements is -46 meV/atom. Its magnetic moment is 0.083 μB/atom. The calculated volume is 17.34 Å³/atom. Its total DFT energy (no corrections) is -74.8 eV for the cell shown.

Geometry as extended XYZ:
```
9
Lattice="5.9989 0.0134 0.0194 -2.8678 5.2690 -0.0194 -2.8678 -1.8693 4.9263" Properties=species:S:1:pos:R:3 pbc="T T T"
U -4.0409 2.3952 3.4571
U -1.6946 1.0045 1.4498
Sn 0.1317 3.4911 1.2267
Sn 0.1317 -0.0780 3.6996
B 0.0000 0.0000 0.0000
Ru -2.8678 3.4863 1.2158
Ru -1.3006 2.5574 3.6912
Ru -2.8678 -0.0866 3.6912
Ru 1.5639 0.8557 1.2351
```

---

Here is CaAsPSe2 after structural relaxation from the Alexandria database. Energies are from PBE.

Output
For the energy relative to the lowest polymorph listed for this composition, the calculation gives 25.83 kcal/mol of atoms. Its magnetic moment is 0.074 μB/atom. The calculated volume is 31.01 Å³/atom. Its uncorrected formation energy is 0.8600 eV per atom. Its total DFT energy (no corrections) is -14.7 eV for the cell shown.

Geometry as extended XYZ:
```
5
Lattice="-3.3402 1.2222 -3.9603 0.3933 -4.9699 -1.8655 -4.2408 -1.5040 3.1127" Properties=species:S:1:pos:R:3 pbc="T T T"
P -3.5939 -2.6259 -1.3565
As -2.1204 -0.7520 1.5564
Ca 0.0000 0.0000 0.0000
Se 0.1967 -2.4849 -0.9327
Se -1.6701 0.6111 -1.9801
```

---

Here is Ca4CdIn2Ga after structural relaxation from the Alexandria database. Energies are from PBE.

Output
The value obtained for the energy of formation from the pure elements is -436 meV/atom. Its magnetic moment is 0.000 μB/atom. The calculated volume is 27.70 Å³/atom. Its total DFT energy (no corrections) is -20.9 eV for the cell shown.

Geometry as extended XYZ:
```
8
Lattice="-0.1174 -5.0719 1.8237 3.7739 -3.5162 -1.5677 6.2425 -0.5200 6.9243" Properties=species:S:1:pos:R:3 pbc="T T T"
Ca 6.7944 -3.6937 6.1017
Ca 5.5755 -7.6932 2.8684
Ca 4.3235 -1.4149 4.3119
Ca 3.1046 -5.4144 1.0785
Cd 0.0000 0.0000 0.0000
In 7.4469 -6.8205 5.4160
In 2.4521 -2.2876 1.7642
Ga 4.9495 -4.5540 3.5901
```

---

Here is Sr2HgRu after structural relaxation from the Alexandria database. Energies are from PBE.

Output
The value obtained for the energy of formation from the pure elements is 54 meV/atom. Its magnetic moment is 0.065 μB/atom. The calculated volume is 30.08 Å³/atom. Its total DFT energy (no corrections) is -12.7 eV for the cell shown.

Geometry as extended XYZ:
```
4
Lattice="4.6138 0.0000 0.0000 0.0000 4.4909 0.0024 0.0000 2.2468 5.8083" Properties=species:S:1:pos:R:3 pbc="T T T"
Hg 0.0000 4.2111 2.8893
Ru 2.3069 4.2111 4.3576
Sr 0.0000 6.4563 5.2933
Sr 2.3069 1.9657 1.9866
```

---

Here is GaFe2Co2 after structural relaxation from the Alexandria database. Energies are from PBE.

Output
For the energy relative to the lowest polymorph listed for this composition, the calculation gives 0.00 kcal/mol of atoms. The value obtained for the energy of formation from the pure elements is -45 meV/atom. Its magnetic moment is 1.589 μB/atom. The calculated volume is 11.92 Å³/atom. Its total DFT energy (no corrections) is -34.4 eV for the cell shown.

Geometry as extended XYZ:
```
5
Lattice="-1.5095 0.8417 1.8847 -3.0035 -2.2703 -1.4458 -0.6439 -5.0887 3.6405" Properties=species:S:1:pos:R:3 pbc="T T T"
Ga -1.5017 -1.1351 -0.7229
Fe -1.7417 -2.3931 1.7475
Fe -3.4152 -4.1242 2.3319
Co -2.0650 -3.5606 4.2678
Co -3.0919 -2.9566 -0.1884
```